(1)
VASP calculation (PBE) on a geometry-optimized MgUTa structure.

Geometry as POSCAR:
```
MgUTa
1.0
0.283 -0.901 4.512
-3.547 0.987 2.774
-2.510 -3.405 1.832
U Mg Ta
1 1 1
Direct
0.750 0.750 0.750
0.000 0.000 0.000
0.250 0.250 0.250
```

Computed properties:
Energy above the most stable polymorph in this dataset in kJ per mole of atoms: 0.0

=====

(2)
VASP calculation (PBE) on a geometry-optimized GdHoCu2Sn2 structure.

Geometry as POSCAR:
```
GdHoCu2Sn2
1.0
4.540 0.000 0.000
-2.270 3.931 0.000
0.000 0.000 7.257
Cu Ho Sn Gd
2 1 2 1
Direct
0.667 0.333 0.555
0.333 0.667 0.048
0.000 0.000 0.734
0.333 0.667 0.467
0.667 0.333 0.962
0.000 0.000 0.234
```

Computed properties:
E_tot in eV per atom: -4.72

=====

(3)
VASP calculation (PBE) on a geometry-optimized Y2HoTm2Lu2Ni2Te2 structure.

Geometry as POSCAR:
```
Y2HoTm2Lu2Ni2Te2
1.0
1.154 -9.211 0.020
-5.579 3.781 6.384
2.288 -3.396 -8.331
Tm Te Y Lu Ni Ho
2 2 2 2 2 1
Direct
0.760 0.894 0.866
0.027 0.894 0.134
0.742 0.242 0.500
0.139 0.139 0.000
0.392 0.745 0.647
0.097 0.745 0.353
0.412 0.097 0.315
0.782 0.097 0.685
0.169 0.408 0.761
0.648 0.408 0.239
0.478 0.478 0.000
```

Computed properties:
E_tot in eV per atom: -5.50

=====

(4)
VASP calculation (PBE) on a geometry-optimized ZrCoAsAu structure.

Geometry as POSCAR:
```
ZrCoAsAu
1.0
-0.757 -4.224 -1.644
-4.190 -1.863 0.294
-2.532 -0.570 -3.792
Co As Zr Au
1 1 1 1
Direct
0.750 0.750 0.750
0.000 0.000 0.000
0.500 0.500 0.500
0.250 0.250 0.250
```

Computed properties:
Energy above the most stable polymorph in this dataset in kJ per mole of atoms: 16.6

=====

| no. | total moment (μB per formula unit) |
| --- | --- |
| 1 | 2.3 |
| 2 | 0.0 |
| 3 | 0.0 |
| 4 | 0.4 |